# 1
This record from Alexandria describes a relaxed BaTlPb2 crystal. The functional is GGA-PBE.

## Properties
Excess energy over the best structure of this formula in the dataset: 0 meV per atom
Total DFT energy (no corrections): -3.266 eV per atom

Cell: 4.9089 4.9830 5.8788 Å, 90.00 90.00 90.00°
Closest atoms and distances in Å follow each position.
Space group Pmm2 (No. 25)
Inequivalent atoms, fractional coordinates:
Ba: 0.0000 0.0000 0.0000  8 Pb 3.61-3.88, 4 Tl 3.67-4.00
Tl: 0.5000 0.0000 0.5370  6 Pb 3.37-3.50, 2 Ba 3.67
Pb: 0.0000 0.5000 0.5070  2 Pb 3.23, 4 Tl 3.50
Pb: 0.5000 0.5000 0.1498  2 Pb 3.23, 2 Tl 3.37, 4 Ba 3.61



# 2
This record from Alexandria describes a relaxed Ba2TlPb16 crystal. The functional is GGA-PBE.

## Properties
Total DFT energy (no corrections): -3.576 eV per atom

Cell: 11.5454 11.5454 17.1487 Å, 90.00 90.00 120.00°
Closest atoms and distances in Å follow each position.
Space group R3m (No. 160, hexagonal axes)
Inequivalent atoms, fractional coordinates:
Ba: 0.0000 0.0000 0.0000  1 Tl 3.97, 12 Pb 4.07-4.23
Ba: 0.0000 0.0000 0.3326  19 Pb 4.07-4.45
Tl: 0.0000 0.0000 0.7685  7 Pb 3.36-3.67
Pb: 0.0000 0.0000 0.5727  1 Tl 3.36, 6 Pb 3.49-3.74
Pb: 0.0005 0.2979 0.6674  8 Pb 3.35-3.62
Pb: 0.0074 0.5037 0.1666  9 Pb 3.35-3.49, 1 Tl 3.58
Pb: 0.0108 0.5054 0.8201  8 Pb 3.30-3.58
Pb: 0.1689 0.3378 0.8519  8 Pb 3.30-3.62, 1 Tl 3.67



| no. | N(E_F) (states/eV/cell) | density (g cm⁻³) |
| --- | --- | --- |
| 1 | 1.41 | 8.731 |
| 2 | 26.79 | 9.548 |